TbPuTl | Alexandria | GGA-PBE | relaxed; SG = I4mm (107); electronic total energy = -0.524 Ry per atom; crystal system = tetragonal; ΔE_f = -0.025 eV/atom
1.0
-1.822 1.822 6.487
1.822 -1.822 6.487
1.822 1.822 -6.487
Tb Pu Tl
1 1 1
Direct
0.000 0.000 0.000 Tb
0.682 0.682 0.000 Pu
0.344 0.344 0.000 Tl